A plane-wave DFT calculation with PBE with a Hubbard U was carried out for a relaxed structure of BaNi2B2O6.

Its total energy is -0.4821 Ry/atom. The value obtained for the spin magnetization is 4.000 Bohr magnetons per cell.

extended XYZ file:
```
11
Lattice="4.1629 0.0000 0.0000 -1.4328 4.9056 0.0000 -2.0790 -2.0495 6.7585" Properties=species:S:1:pos:R:3 pbc="T T T"
Ba 0.0000 0.0000 0.0000
Ni -1.3329 2.7655 3.8255
Ni 1.9841 0.0906 2.9330
B -0.4224 0.0907 4.5878
B 1.0736 2.7654 2.1707
O -1.3749 1.0491 4.8484
O -0.0333 -0.0897 3.2205
O 0.0192 -0.8596 5.4744
O 0.6320 3.7157 1.2841
O 0.6845 2.9458 3.5380
O 2.0260 1.8069 1.9101
```